(i)
AcTb6Ho3 | GGA-PBE | optimized geometry

a b c (Å): 8.9967 9.1032 9.1032
angles (deg): 116.48 90.00 90.00
With the nearest neighbours (Å) after each atom.
Element x y z (fractional)
1 Ac 0.0194 0.2211 0.7789  6 Tb 3.44-3.62, 1 Ho 3.66
2 Ac 0.5194 0.7789 0.2211  6 Tb 3.44-3.62, 1 Ho 3.66
3 Tb 0.1048 0.8000 0.6843  4 Ho 3.32-3.62, 4 Tb 3.33-3.57, 1 Ac 3.62
4 Tb 0.6048 0.6843 0.8000  4 Ho 3.32-3.62, 4 Tb 3.33-3.57, 1 Ac 3.62
5 Tb 0.2753 0.5305 0.8232  4 Tb 3.33-3.57, 3 Ho 3.39-3.70, 1 Ac 3.52
6 Tb 0.7753 0.8232 0.5305  4 Tb 3.33-3.57, 3 Ho 3.39-3.70, 1 Ac 3.52
7 Tb 0.2802 0.9519 0.0481  4 Tb 3.36-3.45, 1 Ac 3.44, 2 Ho 3.63
8 Tb 0.6443 0.2838 0.7161  3 Ho 3.36-3.53, 2 Tb 3.39, 1 Ac 3.51
9 Tb 0.1443 0.7161 0.2838  3 Ho 3.36-3.53, 2 Tb 3.39, 1 Ac 3.51
10 Tb 0.7802 0.0481 0.9519  4 Tb 3.36-3.45, 1 Ac 3.44, 2 Ho 3.63
11 Tb 0.2753 0.1768 0.4695  4 Tb 3.33-3.57, 3 Ho 3.39-3.70, 1 Ac 3.52
12 Tb 0.7753 0.4695 0.1768  4 Tb 3.33-3.57, 3 Ho 3.39-3.70, 1 Ac 3.52
13 Tb 0.1048 0.3157 0.2000  4 Ho 3.32-3.62, 4 Tb 3.33-3.57, 1 Ac 3.62
14 Tb 0.6048 0.2000 0.3157  4 Ho 3.32-3.62, 4 Tb 3.33-3.57, 1 Ac 3.62
15 Ho 0.4337 0.9675 0.6864  2 Ho 3.32-3.44, 6 Tb 3.32-3.63
16 Ho 0.9337 0.6864 0.9675  2 Ho 3.32-3.44, 6 Tb 3.32-3.63
17 Ho 0.4136 0.5503 0.4497  7 Tb 3.34-3.70, 2 Ho 3.44, 1 Ac 3.66
18 Ho 0.9136 0.4497 0.5503  7 Tb 3.34-3.70, 2 Ho 3.44, 1 Ac 3.66
19 Ho 0.9337 0.0325 0.3136  2 Ho 3.32-3.44, 6 Tb 3.32-3.63
20 Ho 0.4337 0.3136 0.0325  2 Ho 3.32-3.44, 6 Tb 3.32-3.63

The calculated density is 8.34 g/cm3. The calculation puts the magnetization at 0.00 μB/cell. As for the crystal system: orthorhombic.

(ii)
AcTb6Ho3 | GGA-PBE | optimized geometry

a b c (Å): 9.8496 9.8496 6.9751
angles (deg): 45.09 45.09 60.00
With the nearest neighbours (Å) after each atom.
Element x y z (fractional)
1 Ac 0.9001 0.9001 0.2998  2 Ho 3.17, 3 Tb 3.40
2 Tb 0.8997 0.5543 0.3005  2 Ho 3.34, 1 Ac 3.40
3 Tb 0.2455 0.8997 0.3005  2 Ho 3.34, 1 Ac 3.40
4 Tb 0.5543 0.2455 0.3005  2 Ho 3.34, 1 Ac 3.40
5 Tb 0.0655 0.4002 0.7996  3 Ho 3.30-3.47
6 Tb 0.7346 0.0655 0.7996  3 Ho 3.30-3.47
7 Tb 0.4002 0.7346 0.7996  3 Ho 3.30-3.47
8 Ho 0.4000 0.4000 0.8000  2 Ho 2.89
9 Ho 0.6385 0.6385 0.0845  1 Ho 2.89, 1 Ac 3.17
10 Ho 0.1616 0.1616 0.5152  1 Ho 2.89, 1 Ac 3.17

The calculated density is 8.20 g/cm3. The calculation puts the magnetization at 0.00 μB/cell. As for the crystal system: trigonal.

Which one sits at the top of the stability order? (i) does.

(i)
AcTb3Ho | GGA-PBE | optimized geometry

a b c (Å): 5.9450 5.9450 10.5375
angles (deg): 90.00 90.00 107.75
With the nearest neighbours (Å) after each atom.
Element x y z (fractional)
1 Ac 0.4470 0.8182 0.2500  5 Tb 3.31-3.59
2 Ac 0.8182 0.4470 0.7500  5 Tb 3.31-3.59
3 Tb 0.2997 0.5933 0.5657  2 Tb 3.14-3.49, 1 Ac 3.35, 1 Ho 3.47
4 Tb 0.2997 0.5933 0.9343  2 Tb 3.14-3.49, 1 Ac 3.35, 1 Ho 3.47
5 Tb 0.0733 0.2761 0.2500  1 Ac 3.31, 2 Ho 3.33, 4 Tb 3.49-3.62
6 Tb 0.5933 0.2997 0.0657  2 Tb 3.14-3.49, 1 Ac 3.35, 1 Ho 3.47
7 Tb 0.5933 0.2997 0.4343  2 Tb 3.14-3.49, 1 Ac 3.35, 1 Ho 3.47
8 Tb 0.2761 0.0733 0.7500  1 Ac 3.31, 2 Ho 3.33, 4 Tb 3.49-3.62
9 Ho 0.9187 0.9187 0.5000  6 Tb 3.33-3.66
10 Ho 0.9187 0.9187 0.0000  6 Tb 3.33-3.66

The calculated density is 8.13 g/cm3. The calculation puts the magnetization at 0.00 μB/cell. As for the crystal system: orthorhombic.

(ii)
AcTb3Ho | GGA-PBE | optimized geometry

a b c (Å): 4.9057 10.2339 8.6014
angles (deg): 59.79 89.99 103.82
With the nearest neighbours (Å) after each atom.
Element x y z (fractional)
1 Ac 0.4063 0.8466 0.2927  7 Tb 3.61-3.86, 3 Ho 3.73-3.88, 1 Ac 4.03
2 Ac 0.6376 0.3075 0.1288  7 Tb 3.61-3.86, 3 Ho 3.73-3.88, 1 Ac 4.03
3 Tb 0.1070 0.2471 0.4865  8 Tb 3.44-3.74, 1 Ho 3.57, 2 Ac 3.73
4 Tb 0.4653 0.9636 0.6257  6 Tb 3.26-3.45, 2 Ho 3.40-3.41, 1 Ac 3.61
5 Tb 0.5787 0.1904 0.7959  6 Tb 3.26-3.45, 2 Ho 3.40-3.41, 1 Ac 3.61
6 Tb 0.9369 0.9070 0.9350  8 Tb 3.44-3.74, 1 Ho 3.57, 2 Ac 3.73
7 Tb 0.2949 0.6230 0.0364  6 Tb 3.40-3.74, 2 Ho 3.57, 2 Ac 3.73
8 Tb 0.7491 0.5311 0.3851  6 Tb 3.40-3.74, 2 Ho 3.57, 2 Ac 3.73
9 Ho 0.2108 0.4548 0.7225  2 Ho 3.38-3.39, 5 Tb 3.40-3.57, 1 Ac 3.73
10 Ho 0.8331 0.6993 0.6990  2 Ho 3.38-3.39, 5 Tb 3.40-3.57, 1 Ac 3.73

The calculated density is 8.04 g/cm3. The calculation puts the magnetization at 0.00 μB/cell. As for the crystal system: triclinic.

Which one sits at the top of the stability order? (ii) does.

(i)
AcTb7Ho12 | GGA-PBE | optimized geometry

a b c (Å): 9.7641 9.7641 9.7641
angles (deg): 109.47 109.47 109.47
With the nearest neighbours (Å) after each atom.
Element x y z (fractional)
1 Ac 0.0000 0.0000 0.0000  12 Ho 4.15
2 Tb 0.5000 0.5000 0.0000  12 Ho 3.82-3.99
3 Tb 0.0000 0.5000 0.5000  12 Ho 3.82-3.99
4 Tb 0.5000 0.0000 0.5000  12 Ho 3.82-3.99
5 Tb 0.5000 0.5000 0.5000  6 Ho 2.82
6 Tb 0.0000 0.0000 0.5000  6 Ho 2.82
7 Tb 0.5000 0.0000 0.0000  6 Ho 2.82
8 Tb 0.0000 0.5000 0.0000  6 Ho 2.82
9 Ho 0.4796 0.7397 0.7399  2 Tb 2.82
10 Ho 0.9998 0.7397 0.2601  2 Tb 2.82
11 Ho 0.5204 0.2603 0.2601  2 Tb 2.82
12 Ho 0.0002 0.2603 0.7399  2 Tb 2.82
13 Ho 0.7399 0.0002 0.2603  2 Tb 2.82
14 Ho 0.7399 0.4796 0.7397  2 Tb 2.82
15 Ho 0.2601 0.9998 0.7397  2 Tb 2.82
16 Ho 0.2601 0.5204 0.2603  2 Tb 2.82
17 Ho 0.7397 0.7399 0.4796  2 Tb 2.82
18 Ho 0.2603 0.2601 0.5204  2 Tb 2.82
19 Ho 0.7397 0.2601 0.9998  2 Tb 2.82
20 Ho 0.2603 0.7399 0.0002  2 Tb 2.82

The calculated density is 7.69 g/cm3. The calculation puts the magnetization at 0.00 μB/cell. As for the crystal system: cubic.

(ii)
AcTb7Ho12 | GGA-PBE | optimized geometry

a b c (Å): 8.7196 8.7196 8.7196
angles (deg): 87.09 87.09 87.09
With the nearest neighbours (Å) after each atom.
Element x y z (fractional)
1 Ac 0.0000 0.0000 0.0000  6 Ho 3.56, 6 Tb 3.84
2 Tb 0.8439 0.6055 0.9367  3 Tb 3.41-3.56, 6 Ho 3.41-3.79
3 Tb 0.3945 0.0633 0.1561  3 Tb 3.41-3.56, 6 Ho 3.41-3.79
4 Tb 0.0633 0.1561 0.3945  3 Tb 3.41-3.56, 6 Ho 3.41-3.79
5 Tb 0.5000 0.5000 0.5000  6 Ho 3.32
6 Tb 0.9367 0.8439 0.6055  3 Tb 3.41-3.56, 6 Ho 3.41-3.79
7 Tb 0.6055 0.9367 0.8439  3 Tb 3.41-3.56, 6 Ho 3.41-3.79
8 Tb 0.1561 0.3945 0.0633  3 Tb 3.41-3.56, 6 Ho 3.41-3.79
9 Ho 0.8500 0.2737 0.7234  4 Ho 3.20-3.54, 2 Tb 3.51, 1 Ac 3.56
10 Ho 0.7263 0.2766 0.1500  4 Ho 3.20-3.54, 2 Tb 3.51, 1 Ac 3.56
11 Ho 0.6229 0.1334 0.4956  5 Ho 3.20-3.54, 2 Tb 3.32-3.41
12 Ho 0.8666 0.5044 0.3771  5 Ho 3.20-3.54, 2 Tb 3.32-3.41
13 Ho 0.2766 0.1500 0.7263  4 Ho 3.20-3.54, 2 Tb 3.51, 1 Ac 3.56
14 Ho 0.5044 0.3771 0.8666  5 Ho 3.20-3.54, 2 Tb 3.32-3.41
15 Ho 0.4956 0.6229 0.1334  5 Ho 3.20-3.54, 2 Tb 3.32-3.41
16 Ho 0.7234 0.8500 0.2737  4 Ho 3.20-3.54, 2 Tb 3.51, 1 Ac 3.56
17 Ho 0.1334 0.4956 0.6229  5 Ho 3.20-3.54, 2 Tb 3.32-3.41
18 Ho 0.3771 0.8666 0.5044  5 Ho 3.20-3.54, 2 Tb 3.32-3.41
19 Ho 0.2737 0.7234 0.8500  4 Ho 3.20-3.54, 2 Tb 3.51, 1 Ac 3.56
20 Ho 0.1500 0.7263 0.2766  4 Ho 3.20-3.54, 2 Tb 3.51, 1 Ac 3.56

The calculated density is 8.34 g/cm3. The calculation puts the magnetization at 0.00 μB/cell. As for the crystal system: trigonal.

Which one sits at the top of the stability order? (ii) does.

(i)
AcTb4Ho2 | GGA-PBE | optimized geometry

a b c (Å): 7.1585 9.5874 8.9426
angles (deg): 114.52 101.37 112.29
With the nearest neighbours (Å) after each atom.
Element x y z (fractional)
1 Ac 0.1919 0.5564 0.3935  5 Ho 3.40-3.63, 5 Tb 3.63-3.80
2 Ac 0.1547 0.1076 0.1054  9 Tb 3.57-3.85, 3 Ho 3.68-3.82, 1 Ac 3.86
3 Tb 0.7387 0.0019 0.6723  7 Tb 3.57-3.85, 4 Ho 3.57-3.79, 2 Ac 3.80-3.85
4 Tb 0.6048 0.6640 0.8018  6 Tb 3.37-3.74, 3 Ho 3.51-3.61, 1 Ac 3.67
5 Tb 0.5907 0.2649 0.5359  3 Ho 3.17-3.42, 2 Tb 3.50-3.52
6 Tb 0.6507 0.1022 0.1082  3 Ac 3.57-3.82, 4 Ho 3.60-3.90, 6 Tb 3.66-3.89
7 Tb 0.1069 0.6655 0.8054  4 Ho 3.34-3.64, 4 Tb 3.50-3.60, 1 Ac 3.63
8 Tb 0.8048 0.8399 0.2520  4 Ho 3.19-3.56, 2 Tb 3.37-3.49
9 Tb 0.2889 0.4414 0.9827  5 Ho 3.31-3.67, 3 Tb 3.49-3.60, 2 Ac 3.66
10 Tb 0.2389 0.0002 0.6695  7 Tb 3.57-3.89, 4 Ho 3.58-3.76, 2 Ac 3.77-3.83
11 Ho 0.7000 0.5606 0.4000  6 Tb 3.36-3.75, 2 Ac 3.55-3.61, 1 Ho 3.67
12 Ho 0.0870 0.2617 0.5394  6 Tb 3.19-3.57, 1 Ac 3.48
13 Ho 0.7822 0.4384 0.9820  7 Tb 3.34-3.70, 2 Ho 3.57-3.67, 1 Ac 3.63
14 Ho 0.3097 0.8454 0.2519  3 Tb 3.17-3.54, 1 Ac 3.40

The calculated density is 8.45 g/cm3. The calculation puts the magnetization at 0.00 μB/cell. As for the crystal system: triclinic.

(ii)
AcTb4Ho2 | GGA-PBE | optimized geometry

a b c (Å): 10.1869 9.2668 8.3221
angles (deg): 135.35 101.25 101.41
With the nearest neighbours (Å) after each atom.
Element x y z (fractional)
1 Ac 0.0865 0.4176 0.3824  6 Tb 3.52-3.89, 3 Ho 3.62-3.88, 2 Ac 3.79-3.90
2 Ac 0.2397 0.0921 0.9102  5 Tb 3.46-3.62, 1 Ac 3.79, 1 Ho 3.80
3 Tb 0.7948 0.9476 0.2269  5 Tb 3.41-3.53, 5 Ho 3.46-3.65
4 Tb 0.4027 0.8624 0.4855  5 Tb 3.42-3.72, 4 Ho 3.48-3.63, 1 Ac 3.57
5 Tb 0.9188 0.7384 0.7823  3 Ho 3.38-3.68, 5 Tb 3.41-3.75, 2 Ac 3.46-3.60
6 Tb 0.7973 0.0301 0.7059  7 Tb 3.42-3.61, 3 Ho 3.50-3.52, 1 Ac 3.72
7 Tb 0.2305 0.1107 0.4186  3 Tb 3.42-3.62, 3 Ho 3.59-3.75, 1 Ac 3.61
8 Tb 0.5315 0.5014 0.0644  3 Ho 3.37-3.51, 7 Tb 3.42-3.73, 1 Ac 3.46
9 Tb 0.5360 0.6068 0.5904  4 Ho 3.42-3.60, 5 Tb 3.46-3.73, 1 Ac 3.62
10 Tb 0.9148 0.6478 0.2637  3 Ho 3.42-3.63, 5 Tb 3.42-3.75, 2 Ac 3.52-3.60
11 Ho 0.6676 0.3225 0.6461  8 Tb 3.37-3.65, 3 Ho 3.37-3.75
12 Ho 0.4003 0.7990 0.0199  3 Ho 3.29-3.46, 5 Tb 3.42-3.59, 1 Ac 3.62
13 Ho 0.6504 0.2091 0.1319  8 Tb 3.46-3.63, 2 Ho 3.46-3.56, 1 Ac 3.80
14 Ho 0.0790 0.4645 0.8717  1 Ho 3.29, 5 Tb 3.42-3.68

The calculated density is 8.38 g/cm3. The calculation puts the magnetization at 0.00 μB/cell. As for the crystal system: triclinic.

Which one sits at the top of the stability order? (i) does.

(i)
AcTb3Ho2 | GGA-PBE | optimized geometry

a b c (Å): 3.7070 11.5838 11.1874
angles (deg): 120.47 99.54 90.00
With the nearest neighbours (Å) after each atom.
Element x y z (fractional)
1 Ac 0.3915 0.0145 0.7830  5 Tb 3.63-3.72, 5 Ho 3.64-3.72, 2 Ac 3.71
2 Ac 0.6085 0.9855 0.2170  5 Tb 3.63-3.72, 5 Ho 3.64-3.72, 2 Ac 3.71
3 Tb 0.2790 0.1576 0.5579  7 Tb 3.52-3.71, 2 Ho 3.59, 3 Ac 3.63-3.72
4 Tb 0.0548 0.6743 0.1096  9 Tb 3.48-3.71, 1 Ho 3.55, 2 Ac 3.67
5 Tb 0.3874 0.5102 0.7747  5 Ho 3.48-3.60, 7 Tb 3.52-3.71
6 Tb 0.7210 0.8424 0.4421  7 Tb 3.52-3.71, 2 Ho 3.59, 3 Ac 3.63-3.72
7 Tb 0.6126 0.4898 0.2253  5 Ho 3.48-3.60, 7 Tb 3.52-3.71
8 Tb 0.9452 0.3257 0.8904  9 Tb 3.48-3.71, 1 Ho 3.55, 2 Ac 3.67
9 Ho 0.2756 0.6462 0.5512  6 Ho 3.50-3.71, 5 Tb 3.54-3.60, 1 Ac 3.68
10 Ho 0.7244 0.3538 0.4488  6 Ho 3.50-3.71, 5 Tb 3.54-3.60, 1 Ac 3.68
11 Ho 0.9384 0.8009 0.8768  3 Tb 3.48-3.55, 4 Ho 3.60-3.71, 4 Ac 3.64-3.72
12 Ho 0.0616 0.1991 0.1232  3 Tb 3.48-3.55, 4 Ho 3.60-3.71, 4 Ac 3.64-3.72

The calculated density is 8.45 g/cm3. The calculation puts the magnetization at 0.00 μB/cell. As for the crystal system: monoclinic.

(ii)
AcTb3Ho2 | GGA-PBE | optimized geometry

a b c (Å): 6.7589 6.7589 9.0405
angles (deg): 98.22 98.22 94.82
With the nearest neighbours (Å) after each atom.
Element x y z (fractional)
1 Ac 0.0713 0.9287 0.2500  5 Tb 3.40-3.61, 4 Ho 3.71-3.78
2 Ac 0.9287 0.0713 0.7500  5 Tb 3.40-3.61, 4 Ho 3.71-3.78
3 Tb 0.1791 0.3582 0.5107  3 Tb 3.21-3.48, 1 Ac 3.42, 2 Ho 3.57
4 Tb 0.6418 0.8209 0.9893  3 Tb 3.21-3.48, 1 Ac 3.42, 2 Ho 3.57
5 Tb 0.8209 0.6418 0.4893  3 Tb 3.21-3.48, 1 Ac 3.42, 2 Ho 3.57
6 Tb 0.3582 0.1791 0.0107  3 Tb 3.21-3.48, 1 Ac 3.42, 2 Ho 3.57
7 Tb 0.4132 0.5868 0.2500  4 Tb 3.21-3.48, 1 Ac 3.40
8 Tb 0.5868 0.4132 0.7500  4 Tb 3.21-3.48, 1 Ac 3.40
9 Ho 0.8706 0.3825 0.1254  2 Ho 3.52-3.56, 9 Tb 3.57-3.93, 3 Ac 3.71-3.82
10 Ho 0.6175 0.1294 0.3746  2 Ho 3.52-3.56, 9 Tb 3.57-3.93, 3 Ac 3.71-3.82
11 Ho 0.1294 0.6175 0.8746  2 Ho 3.52-3.56, 9 Tb 3.57-3.93, 3 Ac 3.71-3.82
12 Ho 0.3825 0.8706 0.6254  2 Ho 3.52-3.56, 9 Tb 3.57-3.93, 3 Ac 3.71-3.82

The calculated density is 8.53 g/cm3. The calculation puts the magnetization at 0.00 μB/cell. As for the crystal system: monoclinic.

Which one sits at the top of the stability order? (i) does.